Below is crystalline SrTe at its relaxed geometry, with properties calculated at the PBE-GGA level.

a b c (Å): 6.718 6.718 6.718
angles (deg): 90.00 90.00 90.00
Space group Fm-3m (No. 225)
One atom of each set of equivalent atoms:
Sr  0.000  0.000  0.000 [4 per cell]
Te  0.000  0.000  0.500 [4 per cell]

Output
Crystal system: cubic
Raw formation energy, eV per atom: -1.747